No. 1
Entry from Alexandria: a relaxed Ti5ZnIn2Co2 crystal (GGA-PBE).

Cell lengths 3.0922, 10.3348, 10.3348 Å; angles 90.00, 90.00, 90.00 degrees
Fractional positions:
Co  0.0000  0.6298  0.8702
Co  0.0000  0.3702  0.1298
Co  0.0000  0.8702  0.3702
Co  0.0000  0.1298  0.6298
In  0.0000  0.3243  0.8243
In  0.0000  0.1757  0.3243
In  0.0000  0.8243  0.6757
In  0.0000  0.6757  0.1757
Zn  0.0000  0.0000  0.0000
Zn  0.0000  0.5000  0.5000
Ti  0.5000  0.4343  0.2949
Ti  0.5000  0.9343  0.2051
Ti  0.5000  0.2051  0.0657
Ti  0.5000  0.5000  0.0000
Ti  0.5000  0.7949  0.9343
Ti  0.5000  0.0657  0.7949
Ti  0.5000  0.0000  0.5000
Ti  0.5000  0.7051  0.4343
Ti  0.5000  0.2949  0.5657
Ti  0.5000  0.5657  0.7051

Computed properties:
- Energy of formation: -0.221 eV/atom
- Calculated total energy: -6.27 eV/atom

---

No. 2
Entry from Alexandria: a relaxed ZrTi2InCo crystal (GGA-PBE).

Cell lengths 4.6549, 5.3205, 4.6549 Å; angles 90.00, 90.00, 90.00 degrees
Each line ends with the local moment (μB).
Fractional positions:
Zr  0.0000  0.0000  0.0000  0.00
Ti  0.0000  0.0000  0.5000  -0.03
Ti  0.5000  0.0000  0.0000  -0.03
Co  0.5000  0.5000  0.5000  0.09
In  0.0000  0.5000  0.0000  0.00

Computed properties:
- Energy of formation: 1.511 eV/atom
- Calculated total energy: -5.33 eV/atom

---

No. 3
Entry from Alexandria: a relaxed TlIn4Co crystal (GGA-PBE).

Cell lengths 6.0453, 6.0453, 6.0453 Å; angles 60.00, 60.00, 60.00 degrees
Each line ends with the local moment (μB).
Fractional positions:
In  0.3745  0.8764  0.3745  0.00
In  0.8764  0.3745  0.3745  0.00
In  0.3745  0.3745  0.3745  0.00
In  0.3745  0.3745  0.8764  0.00
Tl  0.7500  0.7500  0.7500  0.00
Co  0.0000  0.0000  0.0000  1.92

Computed properties:
- Energy of formation: 0.537 eV/atom
- Calculated total energy: -2.87 eV/atom

---

No. 4
Entry from Alexandria: a relaxed TlInCo crystal (GGA-PBE).

Cell lengths 4.4503, 4.4503, 4.4503 Å; angles 60.00, 60.00, 60.00 degrees
Each line ends with the local moment (μB).
Fractional positions:
Tl  0.5000  0.5000  0.5000  0.00
Co  0.2500  0.2500  0.2500  0.20
In  0.0000  0.0000  0.0000  -0.01

Computed properties:
- Energy of formation: 0.307 eV/atom
- Calculated total energy: -3.76 eV/atom

---

No. 5
Entry from Alexandria: a relaxed TlInCo crystal (GGA-PBE).

Cell lengths 6.3046, 6.3047, 3.2300 Å; angles 75.16, 75.16, 29.68 degrees
Each line ends with the local moment (μB).
Fractional positions:
Tl  0.6412  0.6412  0.3588  -0.01
In  0.3697  0.3698  0.6303  -0.02
Co  0.9890  0.9890  0.0110  0.90

Computed properties:
- Energy of formation: 0.367 eV/atom
- Calculated total energy: -3.70 eV/atom

---

No. 6
Entry from Alexandria: a relaxed TlIn2Co2 crystal (GGA-PBE).

Cell lengths 4.1380, 4.1380, 6.3522 Å; angles 70.99, 70.99, 90.00 degrees
Fractional positions:
In  0.7500  0.2500  0.5000
In  0.2500  0.7500  0.5000
Co  0.6007  0.6007  0.7986
Co  0.3993  0.3993  0.2014
Tl  0.0000  0.0000  0.0000

Computed properties:
- Energy of formation: 0.430 eV/atom
- Calculated total energy: -3.98 eV/atom